Hg5H2Br2 | PBE-GGA | optimized geometry

abc: 6.8087 9.5274 9.7445
angles: 60.80 78.93 89.74
Last column: nearest neighbours and their distance in Å.
Space group P1 (No. 1)
Inequivalent atoms, fractional coordinates:
Hg (0.0000, 0.0000, 0.0000)  1 H 1.63
Hg (0.0290, 0.6302, 0.7543)  1 H 1.63
Hg (0.1636, 0.4878, 0.2843)  6 Hg 3.40-3.54, 2 H 3.57-3.80
Hg (0.3274, 0.2569, 0.6477)  7 Hg 3.30-3.54, 1 Br 3.61
Hg (0.3922, 0.1381, 0.3774)  5 Hg 3.21-3.51, 1 Br 3.60
Hg (0.4983, 0.2606, 0.9978)  1 H 1.63
Hg (0.5307, 0.8863, 0.7442)  1 H 1.63
Hg (0.6646, 0.4866, 0.2828)  6 Hg 3.40-3.56, 1 H 3.40
Hg (0.8275, 0.3576, 0.6482)  7 Hg 3.28-3.59, 1 Br 3.63
Hg (0.8835, 0.7432, 0.3786)  4 Hg 3.21-3.45
H (0.0098, 0.8615, 0.9467)  1 Hg 1.63
H (0.3193, 0.7853, 0.8683)  1 Hg 1.63
H (0.5041, 0.4518, 0.9461)  1 Hg 1.63
H (0.8238, 0.6062, 0.8853)  1 Hg 1.63
Br (0.3551, 0.6703, 0.5643)  1 Hg 2.50
Br (0.4877, 0.9672, 0.0690)  1 Hg 2.53
Br (0.8664, 0.0243, 0.5659)  1 Hg 2.50
Br (0.9854, 0.2220, 0.0717)  1 Hg 2.53

Output
- DFT total energy: -1.35 eV/atom
- Density of states at the Fermi level: 0.000 states/eV/f.u.



Al2CdCo | PBE-GGA | optimized geometry

abc: 2.9297 4.7579 8.9622
angles: 90.00 90.00 90.00
Last column: nearest neighbours and their distance in Å.
Space group Immm (No. 71)
Inequivalent atoms, fractional coordinates:
Al (0.0000, 0.0000, 0.2138)  2 Co 2.41
Cd (0.0000, 0.5000, 0.0000)  4 Co 2.79, 2 Cd 2.93, 8 Al 2.95-3.05
Co (0.0000, 0.5000, 0.5000)  4 Al 2.41

Output
- DFT total energy: -3.87 eV/atom
- Density of states at the Fermi level: 2.291 states/eV/f.u.



ScHg6Pd12 | PBE-GGA | optimized geometry

abc: 11.1380 11.1380 9.5670
angles: 90.00 90.00 120.00
Last column: nearest neighbours and their distance in Å.
Space group R-3 (No. 148, hexagonal axes)
Inequivalent atoms, fractional coordinates:
Sc (0.0000, 0.0000, 0.0000)  6 Pd 2.80, 6 Hg 3.03
Hg (0.0883, 0.9105, 0.7385)  7 Pd 2.77-2.97, 2 Hg 2.97, 1 Sc 3.03
Pd (0.9996, 0.2512, 0.9999)  4 Hg 2.77-2.96, 6 Pd 2.80-3.07, 1 Sc 2.80
Pd (0.0601, 0.5306, 0.1228)  5 Pd 2.62-2.81, 1 Hg 2.85

Output
- DFT total energy: -3.84 eV/atom
- Density of states at the Fermi level: 11.175 states/eV/f.u.